1.
Computed, not measured: GaAs2F at its PBEsol-relaxed geometry at the SCAN level of DFT.

Unit cell a=4.4092 b=4.4092 c=4.4092 alpha=60.00 beta=60.00 gamma=60.00
Positions (direct):
Ga 0.0000 0.0000 0.0000
As 0.2500 0.2500 0.2500
As 0.7500 0.7500 0.7500
F 0.5000 0.5000 0.5000

Summary:
Its raw formation energy is -0.320 eV/atom. The calculation puts the energy above the most stable polymorph in this dataset at 0.0929 eV per atom. For the size of the total moment, the calculation gives 0.00 μB/atom. For the total energy, the calculation gives -61.55 eV per formula unit.

=====

2.
Computed, not measured: K3Sb at its PBEsol-relaxed geometry at the SCAN level of DFT.

Unit cell a=6.6917 b=6.6917 c=6.6917 alpha=90.00 beta=90.00 gamma=90.00
Positions (direct):
K 0.0000 0.2500 0.5000
K 0.0000 0.7500 0.5000
K 0.2500 0.5000 0.0000
K 0.5000 0.0000 0.2500
K 0.5000 0.0000 0.7500
K 0.7500 0.5000 0.0000
Sb 0.0000 0.0000 0.0000
Sb 0.5000 0.5000 0.5000

Summary:
Its raw formation energy is -0.467 eV/atom. The calculation puts the energy above the most stable polymorph in this dataset at 0.0376 eV per atom. For the size of the total moment, the calculation gives 0.00 μB/atom. For the total energy, the calculation gives -64.12 eV per formula unit.

=====

3.
Computed, not measured: YAgMo at its PBEsol-relaxed geometry at the SCAN level of DFT.

Unit cell a=4.6460 b=4.6460 c=4.6460 alpha=60.00 beta=60.00 gamma=60.00
Positions (direct):
Y 0.0000 0.0000 0.0000
Ag 0.7500 0.7500 0.7500
Mo 0.2500 0.2500 0.2500

Summary:
For the size of the total moment, the calculation gives 1.11 μB/atom. As for the energy of formation from the pure elements: 1164.1 meV/atom. For the total energy, the calculation gives -90.60 eV per formula unit.

=====

4.
Computed, not measured: Li2P2WO8 at its PBEsol-relaxed geometry at the SCAN level of DFT.

Unit cell a=4.8866 b=4.8866 c=7.2639 alpha=90.00 beta=90.00 gamma=120.00
Positions (direct):
Li 0.3333 0.6667 0.1971
Li 0.6667 0.3333 0.8029
P 0.3333 0.6667 0.7435
P 0.6667 0.3333 0.2565
W 0.0000 0.0000 0.5000
O 0.0446 0.3562 0.6649
O 0.3117 0.9554 0.6649
O 0.3333 0.6667 0.9471
O 0.3562 0.3117 0.3351
O 0.6438 0.6883 0.6649
O 0.6667 0.3333 0.0529
O 0.6883 0.0446 0.3351
O 0.9554 0.6438 0.3351

Summary:
Its raw formation energy is -2.330 eV/atom. The calculation puts the energy above the most stable polymorph in this dataset at 0.0248 eV per atom. For the size of the total moment, the calculation gives 0.15 μB/atom. For the total energy, the calculation gives -175.40 eV per formula unit.